# 1
This record from the Alexandria database describes a geometry-optimized LiDyGa2Cu2 structure. The functional is PBE.

Cell and atoms, written as extended XYZ:
```
6
Lattice="4.2752 0.0000 0.0000 -2.1376 3.7024 0.0000 0.0000 0.0000 6.3799" Properties=species:S:1:pos:R:3 pbc="T T T"
Li 0.0000 0.0000 3.1899
Dy 0.0000 0.0000 0.0000
Ga 2.1376 1.2341 4.4965
Ga 0.0000 2.4683 1.8834
Cu 2.1376 1.2341 1.8528
Cu 0.0000 2.4683 4.5271
```

## Properties
magnetic moment = 0.000 μB/atom
energy of formation from the pure elements = -220 kJ/mol of formula units
ρ = 7.2 g/cm3
electronic total energy = -0.282 Ry per atom

---

# 2
This record from the Alexandria database describes a geometry-optimized NaCu2AuI6 structure. The functional is PBE.

Cell and atoms, written as extended XYZ:
```
20
Lattice="7.3482 -0.3364 -0.3491 1.9025 9.5882 0.1010 1.9025 -0.2544 9.5853" Properties=species:S:1:pos:R:3 pbc="T T T"
Na 3.7396 8.6579 0.8291
Na 7.4137 0.3395 8.5081
Cu 4.1910 7.0421 5.7698
Cu 3.2881 3.6608 2.2607
Cu 6.9622 1.9553 3.5675
Cu 7.8651 5.3366 7.0766
Au 3.7396 2.3577 6.9000
Au 7.4137 6.6396 2.4373
I 4.4361 9.0404 7.4493
I 3.0430 2.0565 0.2015
I 6.7171 -0.0430 1.8880
I 8.1102 6.9409 9.1357
I 5.3242 7.9174 3.5895
I 2.1549 5.8719 1.4668
I 5.8290 1.0799 5.7477
I 8.9983 3.1255 7.8705
I 8.9576 6.5535 5.0953
I 5.8698 3.9803 2.4249
I 2.1957 2.4439 4.2420
I 5.2835 5.0171 6.9123
```

## Properties
uncorrected formation energy = -0.2936 eV/atom
magnetic moment = 0.000 μB/atom
ρ = 5.3 g/cm3
electronic total energy = -0.184 Ry per atom

---

# 3
This record from the Alexandria database describes a geometry-optimized NaTiPt2 structure. The functional is PBE.

Cell and atoms, written as extended XYZ:
```
4
Lattice="-1.9029 -2.1105 -1.2207 2.4358 -1.7130 -0.8353 -0.2565 -3.5667 6.5663" Properties=species:S:1:pos:R:3 pbc="T T T"
Na 0.1382 -3.6951 2.2551
Pt -0.2049 -2.8488 5.2447
Pt -0.0516 -0.7179 1.3216
Ti 0.2665 -1.9118 -1.0280
```

## Properties
magnetic moment = 0.000 μB/atom
energy of formation from the pure elements = -240 kJ/mol of formula units
ρ = 10.7 g/cm3
electronic total energy = -0.437 Ry per atom

---

Q: Look up the magnetic moment of the first one.
A: 0.000 μB/atom

---

Q: Number 2 is which compound?
A: NaCu2AuI6